Computed, not measured: a relaxed LiThPd2 crystal at the PBE-GGA level of DFT.

Cell lengths 5.228, 5.837, 5.837 Å; angles 108.29, 90.00, 90.00 degrees
Fractional coordinates of all 8 atoms:
1 Li 0.500 0.000 0.000
2 Pd 0.250 0.191 0.399
3 Th 0.250 0.671 0.329
4 Pd 0.750 0.809 0.601
5 Pd 0.750 0.399 0.191
6 Li 0.000 0.000 0.000
7 Pd 0.250 0.601 0.809
8 Th 0.750 0.329 0.671

Computed properties:
SG ... Cmcm
Magnetization ... 0.0 μB/cell
Formation energy ... -0.551 eV/atom
Crystal system ... orthorhombic
Energy ... -5.48 eV/atom